Here is Ba2ScGe2 after structural relaxation from Alexandria via LeMat-Bulk. Energies are from GGA-PBE.

Cell lengths 4.7103, 4.7103, 7.7896 Å; angles 72.40, 72.40, 90.00 degrees
Fractional positions:
Ge (0.5843, 0.5843, 0.8315)
Ge (0.4157, 0.4157, 0.1685)
Sc (0.0000, 0.0000, 0.0000)
Ba (0.2500, 0.7500, 0.5000)
Ba (0.7500, 0.2500, 0.5000)

Output
- Calculated formation energy: 0.05 eV per atom
- Space-group type: No. 139
- Energy relative to the lowest polymorph listed for this composition: 467 meV/atom

***

Here is CaSm2Sn2 after structural relaxation from Alexandria via LeMat-Bulk. Energies are from GGA-PBE.

Cell lengths 4.0820, 6.2578, 6.9770 Å; angles 103.66, 107.01, 90.00 degrees
Fractional positions:
Sm (0.6422, 0.5669, 0.2844)
Sm (0.3578, 0.4331, 0.7156)
Sn (0.3007, 0.8902, 0.6014)
Sn (0.6993, 0.1098, 0.3986)
Ca (0.0000, 0.0000, 0.0000)

Output
- Calculated formation energy: -0.39 eV per atom
- Space-group type: No. 12
- Energy relative to the lowest polymorph listed for this composition: 304 meV/atom

***

Here is La2ScCuO after structural relaxation from Alexandria via LeMat-Bulk. Energies are from GGA-PBE.

Cell lengths 5.1458, 5.1458, 4.2096 Å; angles 90.00, 90.00, 90.00 degrees
Fractional positions:
La (0.5000, 0.0000, 0.0000)
La (0.0000, 0.5000, 0.0000)
O (0.0000, 0.0000, 0.0000)
Sc (0.0000, 0.0000, 0.5000)
Cu (0.5000, 0.5000, 0.5000)

Output
- Space-group type: No. 123
- Energy relative to the elements, uncorrected: -1.148 eV per atom

***

Here is KYHf after structural relaxation from Alexandria via LeMat-Bulk. Energies are from GGA-PBE.

Cell lengths 10.9962, 3.3975, 13.0636 Å; angles 91.08, 147.04, 71.58 degrees
Fractional positions:
Y (0.3405, 0.7802, 0.3540)
Y (0.7402, 0.9028, 0.0270)
K (0.9071, 0.2259, 0.4643)
K (0.1737, 0.4562, 0.9167)
Hf (0.3046, 0.3225, 0.5375)
Hf (0.7762, 0.3605, 0.8435)

Output
- Calculated formation energy: 0.43 eV per atom
- Space-group type: No. 2
- Energy relative to the lowest polymorph listed for this composition: 120 meV/atom

***

Here is Zr2Ag after structural relaxation from Alexandria via LeMat-Bulk. Energies are from GGA-PBE.

Cell lengths 7.9304, 7.9304, 5.1304 Å; angles 90.00, 90.00, 156.18 degrees
Fractional positions:
Zr (0.4394, 0.5606, 0.7500)
Zr (0.1120, 0.8880, 0.7500)
Zr (0.8880, 0.1120, 0.2500)
Zr (0.5606, 0.4394, 0.2500)
Ag (0.2257, 0.7743, 0.2500)
Ag (0.7743, 0.2257, 0.7500)

Output
- Calculated formation energy: 0.05 eV per atom
- Space-group type: No. 63

***

Here is MnTcSCl2 after structural relaxation from Alexandria via LeMat-Bulk. Energies are from GGA-PBE.

Cell lengths 4.9469, 4.9469, 4.4847 Å; angles 90.00, 90.00, 90.00 degrees
Fractional positions:
Cl (0.5000, 0.0000, 0.0000)
Cl (0.0000, 0.5000, 0.0000)
S (0.0000, 0.0000, 0.5000)
Tc (0.0000, 0.0000, 0.0000)
Mn (0.5000, 0.5000, 0.5000)

Output
- Space-group type: No. 123
- Energy relative to the elements, uncorrected: 0.202 eV per atom
- Energy relative to the lowest polymorph listed for this composition: 0 meV/atom

***

Here is Rb2CoMoBr6 after structural relaxation from Alexandria via LeMat-Bulk. Energies are from GGA-PBE.

Cell lengths 7.4778, 7.4778, 7.4753 Å; angles 59.99, 59.99, 90.00 degrees
Fractional positions:
Br (0.2501, 0.7499, 0.0000)
Br (0.2501, 0.2501, 0.0000)
Br (0.7499, 0.2501, 0.0000)
Br (0.7499, 0.7499, 0.0000)
Br (0.7498, 0.7498, 0.5004)
Br (0.2502, 0.2502, 0.4996)
Mo (0.0000, 0.0000, 0.0000)
Rb (0.7500, 0.2500, 0.5000)
Rb (0.2500, 0.7500, 0.5000)
Co (0.5000, 0.5000, 0.0000)

Output
- Space-group type: No. 225
- Energy relative to the elements, uncorrected: -0.811 eV per atom

***

Here is Pr3GaH after structural relaxation from Alexandria via LeMat-Bulk. Energies are from GGA-PBE.

Cell lengths 4.9575, 4.9575, 4.9575 Å; angles 90.00, 90.00, 90.00 degrees
Fractional positions:
Pr (0.0000, 0.0000, 0.5000)
Pr (0.5000, 0.0000, 0.0000)
Pr (0.0000, 0.5000, 0.0000)
H (0.0000, 0.0000, 0.0000)
Ga (0.5000, 0.5000, 0.5000)

Output
- Space-group type: No. 221
- Energy relative to the lowest polymorph listed for this composition: 0 meV/atom